# 1
Pr6TlAg6: optimized geometry, GGA-PBE.

```
Pr6TlAg6
1.0
-1.250 -3.685 -4.608
-1.149 -1.748 5.657
-10.236 4.381 -0.725
Pr Tl Ag
6 1 6
Direct
0.000 0.000 0.669
0.000 0.000 0.331
0.333 0.667 0.000
0.667 0.333 0.000
0.333 0.667 0.500
0.667 0.333 0.500
0.000 0.000 0.000
0.000 0.500 0.758
0.500 0.000 0.758
0.500 0.500 0.758
0.500 0.000 0.242
0.000 0.500 0.242
0.500 0.500 0.242
```

Properties
- Energy relative to the elements: -2.06 eV per formula unit

***

# 2
Pr3Tl2Ag: optimized geometry, GGA-PBE.

```
Pr3Tl2Ag
1.0
5.486 0.000 0.000
-2.743 4.751 0.000
0.000 0.000 13.582
Pr Tl Ag
6 4 2
Direct
0.333 0.667 0.416
0.667 0.333 0.091
0.000 0.000 0.744
0.000 0.000 0.256
0.333 0.667 0.909
0.667 0.333 0.584
0.000 0.000 0.500
0.333 0.667 0.167
0.667 0.333 0.833
0.000 0.000 0.000
0.333 0.667 0.663
0.667 0.333 0.337
```

Properties
- Energy relative to the elements: -2.00 eV per formula unit

***

# 3
Pr6TlAg: optimized geometry, GGA-PBE.

```
Pr6TlAg
1.0
9.279 0.015 0.079
4.640 7.393 -0.164
4.606 2.346 3.716
Pr Tl Ag
6 1 1
Direct
0.027 0.448 0.771
0.753 0.970 0.724
0.552 0.246 0.174
0.247 0.030 0.276
0.973 0.552 0.229
0.448 0.754 0.826
0.500 0.500 0.500
0.000 0.000 0.000
```

Properties
- Energy relative to the elements: -0.61 eV per formula unit

***

# 4
Pr3Tl2Ag3: optimized geometry, GGA-PBE.

```
Pr3Tl2Ag3
1.0
4.783 0.000 0.000
-2.392 5.814 0.000
0.000 0.000 15.626
Pr Tl Ag
6 4 6
Direct
0.912 0.824 0.396
0.088 0.176 0.896
0.912 0.824 0.104
0.088 0.176 0.604
0.627 0.253 0.250
0.373 0.747 0.750
0.792 0.584 0.897
0.208 0.416 0.397
0.792 0.584 0.603
0.208 0.416 0.103
0.606 0.212 0.459
0.394 0.788 0.959
0.606 0.212 0.041
0.394 0.788 0.541
0.359 0.718 0.250
0.641 0.282 0.750
```

Properties
- Energy relative to the elements: -1.89 eV per formula unit

***

# 5
Pr6TlAg2: optimized geometry, GGA-PBE.

```
Pr6TlAg2
1.0
9.039 0.139 0.018
-3.296 8.418 -0.018
-3.057 -4.154 7.425
Pr Tl Ag
12 2 4
Direct
0.546 0.729 0.816
0.454 0.271 0.184
0.087 0.271 0.816
0.913 0.729 0.184
0.798 0.754 0.552
0.202 0.246 0.448
0.202 0.754 0.957
0.798 0.246 0.043
0.721 0.398 0.678
0.279 0.602 0.322
0.279 0.957 0.678
0.721 0.043 0.322
0.000 0.500 0.500
0.000 0.000 0.000
0.500 0.370 0.870
0.500 0.630 0.130
0.639 0.000 0.639
0.361 0.000 0.361
```

Properties
- Energy relative to the elements: -1.46 eV per formula unit

***

# 6
Pr6Tl3Ag: optimized geometry, GGA-PBE.

```
Pr6Tl3Ag
1.0
5.483 0.000 0.000
0.000 9.202 -3.001
0.000 0.119 12.112
Pr Tl Ag
12 6 2
Direct
0.250 0.465 0.091
0.750 0.535 0.909
0.250 0.132 0.153
0.750 0.868 0.847
0.250 0.667 0.677
0.750 0.333 0.323
0.250 0.241 0.499
0.750 0.759 0.501
0.250 0.851 0.315
0.750 0.149 0.685
0.250 0.091 0.875
0.750 0.909 0.125
0.250 0.533 0.384
0.750 0.467 0.616
0.250 0.374 0.782
0.750 0.626 0.218
0.250 0.770 0.975
0.750 0.230 0.025
0.250 0.958 0.601
0.750 0.042 0.399
```

Properties
- Energy relative to the elements: -2.54 eV per formula unit